Entry 1:
A plane-wave DFT calculation with meta-GGA SCAN was carried out for a PBEsol-optimized structure of CuAg2Au. Values from VASP.

Computed properties:
SG ... F-43m
DFT formation energy ... 0.11 eV per formula unit
E ... -36.7449 eV per atom

Cell and atoms, written as Quantum ESPRESSO input:
```
&SYSTEM
  ibrav = 0, nat = 4, ntyp = 3
/
ATOMIC_SPECIES
Cu 63.55 Cu.upf
Ag 107.87 Ag.upf
Au 196.97 Au.upf
ATOMIC_POSITIONS angstrom
Cu 0.000 0.000 0.000
Ag 3.144 3.144 3.144
Ag 4.716 4.716 4.716
Au 1.572 1.572 1.572
CELL_PARAMETERS angstrom
0.000 3.144 3.144
3.144 0.000 3.144
3.144 3.144 0.000
```

=====

Entry 2:
A plane-wave DFT calculation with meta-GGA SCAN was carried out for a PBEsol-optimized structure of CuAgAu2. Values from VASP.

Computed properties:
SG ... R3m
DFT formation energy ... 0.05 eV per formula unit
E ... -46.2066 eV per atom

Cell and atoms, written as Quantum ESPRESSO input:
```
&SYSTEM
  ibrav = 0, nat = 4, ntyp = 3
/
ATOMIC_SPECIES
Cu 63.55 Cu.upf
Ag 107.87 Ag.upf
Au 196.97 Au.upf
ATOMIC_POSITIONS angstrom
Cu 0.000 0.000 0.000
Ag 0.000 0.000 6.904
Au 0.000 0.000 13.513
Au 0.000 0.000 20.064
CELL_PARAMETERS angstrom
1.418 0.819 8.992
-1.418 0.819 8.992
0.000 -1.637 8.992
```

=====

Entry 3:
A plane-wave DFT calculation with meta-GGA SCAN was carried out for a PBEsol-optimized structure of CuAg2Au. Values from VASP.

Computed properties:
SG ... R-3m
DFT formation energy ... 0.19 eV per formula unit
E ... -36.7261 eV per atom

Cell and atoms, written as Quantum ESPRESSO input:
```
&SYSTEM
  ibrav = 0, nat = 4, ntyp = 3
/
ATOMIC_SPECIES
Cu 63.55 Cu.upf
Ag 107.87 Ag.upf
Au 196.97 Au.upf
ATOMIC_POSITIONS angstrom
Cu 0.000 0.000 0.000
Ag 0.000 0.000 6.899
Ag 0.000 0.000 20.093
Au 0.000 0.000 13.496
CELL_PARAMETERS angstrom
1.412 0.815 8.997
-1.412 0.815 8.997
0.000 -1.630 8.997
```

=====

Entry 4:
A plane-wave DFT calculation with meta-GGA SCAN was carried out for a PBEsol-optimized structure of CuAg2Au. Values from VASP.

Computed properties:
SG ... Cm
DFT formation energy ... 0.11 eV per formula unit
E ... -36.7450 eV per atom

Cell and atoms, written as Quantum ESPRESSO input:
```
&SYSTEM
  ibrav = 0, nat = 4, ntyp = 3
/
ATOMIC_SPECIES
Cu 63.55 Cu.upf
Ag 107.87 Ag.upf
Au 196.97 Au.upf
ATOMIC_POSITIONS angstrom
Cu 0.000 0.000 0.000
Ag -0.014 0.000 6.820
Ag 1.627 0.000 4.469
Au 3.266 0.000 2.086
CELL_PARAMETERS angstrom
2.453 -1.422 0.000
2.453 1.422 0.000
-1.655 0.000 8.912
```

=====

Entry 5:
A plane-wave DFT calculation with meta-GGA SCAN was carried out for a PBEsol-optimized structure of Dy2AgAu. Values from VASP.

Computed properties:
SG ... Fm-3m
DFT formation energy ... -3.02 eV per formula unit
E ... -49.7832 eV per atom

Cell and atoms, written as Quantum ESPRESSO input:
```
&SYSTEM
  ibrav = 0, nat = 4, ntyp = 3
/
ATOMIC_SPECIES
Dy 162.50 Dy.upf
Ag 107.87 Ag.upf
Au 196.97 Au.upf
ATOMIC_POSITIONS angstrom
Dy 1.772 1.772 1.772
Dy 5.317 5.317 5.317
Ag 0.000 0.000 0.000
Au 3.545 3.545 3.545
CELL_PARAMETERS angstrom
0.000 3.545 3.545
3.545 0.000 3.545
3.545 3.545 0.000
```

=====

Entry 6:
A plane-wave DFT calculation with meta-GGA SCAN was carried out for a PBEsol-optimized structure of Er2AgAu. Values from VASP.

Computed properties:
SG ... Fm-3m
DFT formation energy ... -3.10 eV per formula unit
E ... -51.0757 eV per atom

Cell and atoms, written as Quantum ESPRESSO input:
```
&SYSTEM
  ibrav = 0, nat = 4, ntyp = 3
/
ATOMIC_SPECIES
Er 167.26 Er.upf
Ag 107.87 Ag.upf
Au 196.97 Au.upf
ATOMIC_POSITIONS angstrom
Er 1.758 1.758 1.758
Er 5.274 5.274 5.274
Ag 0.000 0.000 0.000
Au 3.516 3.516 3.516
CELL_PARAMETERS angstrom
0.000 3.516 3.516
3.516 0.000 3.516
3.516 3.516 0.000
```